First-principles (PBE) data for a relaxed structure of Ho6ErTm2Sc, as listed in the Alexandria database.

a b c (Å): 9.3365 8.6049 8.6049
angles (deg): 117.25 93.83 93.83
Element x y z (fractional)
Ho (0.0552, 0.1253, 0.7540)
Ho (0.4448, 0.2460, 0.8747)
Ho (0.9448, 0.8747, 0.2460)
Ho (0.5552, 0.7540, 0.1253)
Ho (0.3116, 0.9924, 0.4354)
Ho (0.1884, 0.5646, 0.0076)
Ho (0.6884, 0.0076, 0.5646)
Ho (0.8116, 0.4354, 0.9924)
Ho (0.1166, 0.7073, 0.4939)
Ho (0.3834, 0.5061, 0.2927)
Ho (0.8834, 0.2927, 0.5061)
Ho (0.6166, 0.4939, 0.7073)
Er (0.2500, 0.9769, 0.0231)
Er (0.7500, 0.0231, 0.9769)
Tm (0.4529, 0.7997, 0.6964)
Tm (0.0471, 0.3036, 0.2003)
Tm (0.5471, 0.2003, 0.3036)
Tm (0.9529, 0.6964, 0.7997)
Sc (0.2500, 0.4126, 0.5874)
Sc (0.7500, 0.5874, 0.4126)

Computed properties:
The formation energy is 0.128 eV/atom. As for the crystal system: monoclinic. Its space group is No. 15.